## Li2AsPb (PBE)

Data for crystalline Li2AsPb at its relaxed geometry.

Unit cell a=6.7891 b=6.7891 c=6.7891 alpha=90.00 beta=90.00 gamma=90.00
With the nearest neighbours (Å) after each atom.
Space group Fm-3m (No. 225)
Inequivalent atoms, fractional coordinates:
Li 0.2500 0.2500 0.2500  4 As 2.94, 4 Pb 2.94
As 0.0000 0.0000 0.0000  8 Li 2.94
Pb 0.0000 0.0000 0.5000  8 Li 2.94

Uncorrected energy (eV/atom): -3.373